No. 1
This record from Alexandria via LeMat-Bulk describes crystalline La3Nd6Dy2 at its relaxed geometry. The functional is PBE.

Lattice parameters (Å, degrees): 4.8825 4.8825 17.3573 98.09 98.09 90.00
Fractional positions:
Nd (0.3819, 0.8819, 0.7637)
Nd (0.8819, 0.3819, 0.7637)
Nd (0.1181, 0.6181, 0.2363)
Nd (0.6920, 0.6920, 0.3840)
Nd (0.3080, 0.3080, 0.6160)
Nd (0.6181, 0.1181, 0.2363)
La (0.2056, 0.2056, 0.4112)
La (0.0000, 0.0000, 0.0000)
La (0.7944, 0.7944, 0.5888)
Dy (0.4548, 0.4548, 0.9096)
Dy (0.5452, 0.5452, 0.0904)

Results
Excess energy over the best structure of this formula in the dataset ... 156 meV/atom
Theoretical density ... 6.58 Mg/m³
Electronic total energy ... -49.77 eV per cell
DFT formation energy ... 0.26 eV/atom
Symmetry ... I4/mmm, No. 139

***

No. 2
This record from Alexandria via LeMat-Bulk describes crystalline La3Nd4Dy2 at its relaxed geometry. The functional is PBE.

Lattice parameters (Å, degrees): 3.6544 3.6544 27.5127 90.00 90.00 120.00
Fractional positions:
La (0.0000, 0.0000, 0.9844)
La (0.6667, 0.3333, 0.6550)
La (0.0000, 0.0000, 0.3193)
Dy (0.6667, 0.3333, 0.0887)
Dy (0.6667, 0.3333, 0.8728)
Nd (0.6667, 0.3333, 0.2110)
Nd (0.0000, 0.0000, 0.7694)
Nd (0.0000, 0.0000, 0.5423)
Nd (0.6667, 0.3333, 0.4341)

Results
Excess energy over the best structure of this formula in the dataset ... 52 meV/atom
Theoretical density ... 6.88 Mg/m³
Electronic total energy ... -42.42 eV per cell
DFT formation energy ... 0.07 eV/atom
Symmetry ... P3m1, No. 156

***

No. 3
This record from Alexandria via LeMat-Bulk describes crystalline La4NdDy4 at its relaxed geometry. The functional is PBE.

Lattice parameters (Å, degrees): 10.9504 9.6675 10.9751 75.56 93.03 145.14
Fractional positions:
La (0.0009, 0.7491, 0.7486)
La (0.6664, 0.9176, 0.5827)
La (0.3336, 0.0824, 0.4173)
La (0.9991, 0.2509, 0.2514)
La (0.7787, 0.1938, 0.9718)
La (0.1110, 0.0269, 0.1398)
La (0.2213, 0.8062, 0.0282)
La (0.8890, 0.9731, 0.8602)
Dy (0.1120, 0.5288, 0.6364)
Dy (0.6691, 0.4161, 0.0852)
Dy (0.4421, 0.8612, 0.3087)
Dy (0.5579, 0.1388, 0.6913)
Dy (0.2226, 0.3067, 0.5262)
Dy (0.3309, 0.5839, 0.9148)
Dy (0.7774, 0.6933, 0.4738)
Dy (0.8880, 0.4712, 0.3636)
Nd (0.4454, 0.3624, 0.8027)
Nd (0.5546, 0.6376, 0.1973)

Results
Theoretical density ... 7.25 Mg/m³
Electronic total energy ... -85.30 eV per cell
DFT formation energy ... 0.03 eV/atom
Symmetry ... P-1, No. 2

***

No. 4
This record from Alexandria via LeMat-Bulk describes crystalline La3Nd5Dy4 at its relaxed geometry. The functional is PBE.

Lattice parameters (Å, degrees): 7.2809 11.5515 13.1905 151.26 56.40 129.17
Fractional positions:
La (0.5872, 0.1699, 0.3350)
La (0.4128, 0.8301, 0.6650)
La (0.0000, 0.0000, 0.5000)
Nd (0.7475, 0.5024, 0.0023)
Nd (0.2525, 0.4976, 0.9977)
Nd (0.5000, 0.0000, 0.5000)
Nd (0.3351, 0.6686, 0.8336)
Nd (0.6649, 0.3314, 0.1664)
Dy (0.0821, 0.1663, 0.3313)
Dy (0.9179, 0.8337, 0.6687)
Dy (0.1645, 0.3308, 0.1657)
Dy (0.8355, 0.6692, 0.8343)

Results
Excess energy over the best structure of this formula in the dataset ... 0 meV/atom
Theoretical density ... 7.18 Mg/m³
Electronic total energy ... -56.79 eV per cell
DFT formation energy ... 0.02 eV/atom
Symmetry ... P-1, No. 2

***

No. 5
This record from Alexandria via LeMat-Bulk describes crystalline LaNd3Dy12 at its relaxed geometry. The functional is PBE.

Lattice parameters (Å, degrees): 5.0662 5.0662 20.2658 90.00 90.00 90.00
Fractional positions:
Nd (0.0000, 0.0000, 0.7500)
Nd (0.0000, 0.0000, 0.2500)
Nd (0.0000, 0.0000, 0.5000)
Dy (0.5000, 0.5000, 0.2509)
Dy (0.5000, 0.0000, 0.3753)
Dy (0.0000, 0.5000, 0.1263)
Dy (0.5000, 0.0000, 0.6247)
Dy (0.5000, 0.0000, 0.1263)
Dy (0.5000, 0.5000, 0.0000)
Dy (0.5000, 0.5000, 0.7491)
Dy (0.0000, 0.5000, 0.6247)
Dy (0.0000, 0.5000, 0.3753)
Dy (0.5000, 0.0000, 0.8737)
Dy (0.0000, 0.5000, 0.8737)
Dy (0.5000, 0.5000, 0.5000)
La (0.0000, 0.0000, 0.0000)

Results
Theoretical density ... 8.05 Mg/m³
Electronic total energy ... -74.10 eV per cell
DFT formation energy ... 0.02 eV/atom
Symmetry ... P4/mmm, No. 123

***

No. 6
This record from Alexandria via LeMat-Bulk describes crystalline LaNdDy4 at its relaxed geometry. The functional is PBE.

Lattice parameters (Å, degrees): 6.6725 6.6725 6.6725 60.00 60.00 60.00
Each line ends with the local moment (μB).
Fractional positions:
La (0.2500, 0.2500, 0.2500)  0.30
Dy (0.6255, 0.6255, 0.6255)  0.16
Dy (0.1234, 0.6255, 0.6255)  0.16
Dy (0.6255, 0.6255, 0.1234)  0.16
Dy (0.6255, 0.1234, 0.6255)  0.16
Nd (0.0000, 0.0000, 0.0000)  0.23

Results
Excess energy over the best structure of this formula in the dataset ... 253 meV/atom
Theoretical density ... 7.38 Mg/m³
Electronic total energy ... -26.44 eV per cell
DFT formation energy ... 0.28 eV/atom
Symmetry ... F-43m, No. 216

***

No. 7
This record from Alexandria via LeMat-Bulk describes crystalline La4Nd11Dy9 at its relaxed geometry. The functional is PBE.

Lattice parameters (Å, degrees): 3.7504 15.4425 15.4425 112.59 90.00 90.00
Fractional positions:
Nd (0.0000, 0.9552, 0.5931)
Nd (0.0000, 0.1583, 0.8417)
Nd (0.0000, 0.5931, 0.9552)
Nd (0.0000, 0.0448, 0.4069)
Nd (0.0000, 0.2886, 0.2886)
Nd (0.0000, 0.6353, 0.3647)
Nd (0.0000, 0.7114, 0.7114)
Nd (0.0000, 0.3647, 0.6353)
Nd (0.0000, 0.8417, 0.1583)
Nd (0.0000, 0.4069, 0.0448)
Nd (0.0000, 0.0000, 0.0000)
Dy (0.5000, 0.1624, 0.6365)
Dy (0.5000, 0.8376, 0.3635)
Dy (0.5000, 0.7897, 0.9349)
Dy (0.5000, 0.9349, 0.7897)
Dy (0.5000, 0.5000, 0.5000)
Dy (0.5000, 0.3635, 0.8376)
Dy (0.5000, 0.0651, 0.2103)
Dy (0.5000, 0.6365, 0.1624)
Dy (0.5000, 0.2103, 0.0651)
La (0.5000, 0.5540, 0.7551)
La (0.5000, 0.4460, 0.2449)
La (0.5000, 0.2449, 0.4460)
La (0.5000, 0.7551, 0.5540)

Results
Theoretical density ... 7.25 Mg/m³
Electronic total energy ... -111.85 eV per cell
DFT formation energy ... 0.07 eV/atom
Symmetry ... Cmmm, No. 65

***

No. 8
This record from Alexandria via LeMat-Bulk describes crystalline LaNd4Dy2 at its relaxed geometry. The functional is PBE.

Lattice parameters (Å, degrees): 6.2078 6.7256 11.9441 90.01 105.69 90.00
Fractional positions:
Dy (0.5938, 0.7500, 0.9971)
Dy (0.2927, 0.2500, 0.4398)
Dy (0.7073, 0.7500, 0.5602)
Dy (0.4062, 0.2500, 0.0029)
Nd (0.3540, 0.9984, 0.7125)
Nd (0.0001, 0.2498, 0.1533)
Nd (0.9999, 0.7502, 0.8467)
Nd (0.3539, 0.5017, 0.7125)
Nd (0.8526, 0.2500, 0.5614)
Nd (0.6460, 0.0016, 0.2875)
Nd (0.1474, 0.7500, 0.4386)
Nd (0.6461, 0.4983, 0.2875)
La (0.8377, 0.2502, 0.8521)
La (0.1623, 0.7498, 0.1479)

Results
Excess energy over the best structure of this formula in the dataset ... 42 meV/atom
Theoretical density ... 7.20 Mg/m³
Electronic total energy ... -64.83 eV per cell
DFT formation energy ... 0.11 eV/atom
Symmetry ... P2_1/m, No. 11

***

No. 9
This record from Alexandria via LeMat-Bulk describes crystalline La5Nd4Dy2 at its relaxed geometry. The functional is PBE.

Lattice parameters (Å, degrees): 3.5801 9.1219 12.0022 94.52 90.00 90.00
Fractional positions:
Nd (0.5000, 0.8425, 0.1101)
Nd (0.5000, 0.2825, 0.4508)
Nd (0.5000, 0.7175, 0.5492)
Nd (0.5000, 0.1575, 0.8899)
La (0.0000, 0.4317, 0.7080)
La (0.0000, 0.5683, 0.2920)
La (0.0000, 0.5000, 0.0000)
La (0.0000, 0.8046, 0.8329)
La (0.0000, 0.1954, 0.1671)
Dy (0.0000, 0.9429, 0.3651)
Dy (0.0000, 0.0571, 0.6349)

Results
Excess energy over the best structure of this formula in the dataset ... 0 meV/atom
Theoretical density ... 6.78 Mg/m³
Electronic total energy ... -52.10 eV per cell
DFT formation energy ... 0.07 eV/atom
Symmetry ... P2/m, No. 10

***

Among the records above, which one has the lowest electronic total energy? La4Nd11Dy9